Entry 1:
Density functional theory data (PBE-GGA) for MgIn2Cu after structural relaxation.

Properties
spin magnetization	0.00	μB/cell
calculated volume	20.681	Å³/atom
space-group type	No. 47
energy of formation	0.06	eV per atom

Cell: 3.222 4.138 6.204 Å, 90.00 90.00 90.00°
Atoms (fractional coordinates):
In (0.000, 0.000, 0.515)
In (0.000, 0.000, 0.985)
Mg (0.500, 0.500, 0.250)
Cu (0.500, 0.500, 0.750)

Entry 2:
Density functional theory data (PBE-GGA) for Ta2InAg after structural relaxation.

Properties
spin magnetization	0.00	μB/cell
calculated volume	18.641	Å³/atom
space-group type	No. 123
energy of formation	0.31	eV per atom

Cell: 2.914 2.914 8.783 Å, 90.00 90.00 90.01°
Atoms (fractional coordinates):
In (0.500, 0.500, 0.750)
Ag (0.500, 0.500, 0.250)
Ta (0.000, 0.000, 0.491)
Ta (0.000, 0.000, 0.009)

Quick rundown of final energy, same order as above: -10.9, -28.1 eV/cell